Here is Co3CuNi12 after structural relaxation from the Alexandria database. Energies are from PBE-GGA.

Computed properties:
E   -5.912 eV per atom
DOS at the Fermi energy   22.69 states/eV per cell
ΔH_f (0 K)   0.0126 eV per atom

abc: 3.525 3.525 14.115
angles: 90.00 90.00 90.00
Space group P4/mmm (No. 123)
Unique sites:
Co (0.000, 0.000, 0.000) (multiplicity 1)
Co (0.000, 0.000, 0.251) (multiplicity 2)
Cu (0.000, 0.000, 0.500) (multiplicity 1)
Ni (0.000, 0.500, 0.124) (multiplicity 4)
Ni (0.000, 0.500, 0.372) (multiplicity 4)
Ni (0.500, 0.500, 0.000) (multiplicity 1)
Ni (0.500, 0.500, 0.248) (multiplicity 2)
Ni (0.500, 0.500, 0.500) (multiplicity 1)